Below is an optimized crystal structure of Ge3MoF9, with properties calculated at the PBE+U level.

```
data_Ge3MoF9
_symmetry_space_group_name_H-M 'P 1'
_symmetry_Int_Tables_number 1
_symmetry_space_group_name_Hall 'P 1'
_cell_length_a 6.745
_cell_length_b 7.933
_cell_length_c 10.680
_cell_angle_alpha 73.34
_cell_angle_beta 71.59
_cell_angle_gamma 64.84
loop_
_atom_site_label
_atom_site_type_symbol
_atom_site_fract_x
_atom_site_fract_y
_atom_site_fract_z
Ge1 Ge 0.800 0.629 0.700
Ge2 Ge 0.871 0.129 0.200
Ge3 Ge 0.034 0.025 0.838
Ge4 Ge 0.104 0.525 0.338
Ge5 Ge 0.572 0.300 0.695
Ge6 Ge 0.434 0.800 0.195
Mo1 Mo 0.121 0.467 0.989
Mo2 Mo 0.423 0.967 0.489
F1 F 0.259 0.263 0.415
F2 F 0.064 0.763 0.915
F3 F 0.450 0.413 0.858
F4 F 0.279 0.913 0.358
F5 F 0.144 0.961 0.652
F6 F 0.242 0.461 0.152
F7 F 0.806 0.524 0.110
F8 F 0.561 0.024 0.610
F9 F 0.688 0.951 0.320
F10 F 0.041 0.451 0.820
F11 F 0.586 0.682 0.558
F12 F 0.175 0.182 0.058
F13 F 0.389 0.565 0.311
F14 F 0.735 0.065 0.811
F15 F 0.838 0.359 0.678
F16 F 0.125 0.859 0.178
F17 F 0.788 0.119 0.055
F18 F 0.038 0.619 0.555
```

Computed properties:
VASP energy = -133.1 eV per cell
volume = 18.58 Å³/atom